Record 1
# K2AgIr (PBE, optimized geometry)
data_K2AgIr
_chemical_formula_sum 'K2 Ag1 Ir1'
_space_group_name_H-M_alt 'P 1'
_space_group_IT_number 1
_space_group_name_Hall 'P 1'
_cell_length_a 4.2637
_cell_length_b 4.2637
_cell_length_c 5.1895
_cell_angle_alpha 90.00
_cell_angle_beta 90.00
_cell_angle_gamma 90.00
loop_
_atom_site_label
_atom_site_fract_x
_atom_site_fract_y
_atom_site_fract_z
K1 0.0000 0.5000 0.0000
K2 0.5000 0.0000 0.0000
Ag1 0.0000 0.0000 0.5000
Ir1 0.5000 0.5000 0.5000
# Energy relative to the lowest polymorph listed for this composition: 0.236 eV per atom
# E_tot: -2.7185 eV/atom

Record 2
# Th2NpZn (PBE, optimized geometry)
data_Th2NpZn
_chemical_formula_sum 'Th2 Np1 Zn1'
_space_group_name_H-M_alt 'P 1'
_space_group_IT_number 1
_space_group_name_Hall 'P 1'
_cell_length_a 5.4495
_cell_length_b 5.4495
_cell_length_c 3.4553
_cell_angle_alpha 90.00
_cell_angle_beta 90.00
_cell_angle_gamma 90.00
loop_
_atom_site_label
_atom_site_fract_x
_atom_site_fract_y
_atom_site_fract_z
Th1 0.0000 0.5000 0.0000
Th2 0.5000 0.0000 0.0000
Np1 0.0000 0.0000 0.5000
Zn1 0.5000 0.5000 0.5000
# Energy relative to the lowest polymorph listed for this composition: 0.000 eV per atom
# E_tot: -7.1421 eV/atom

Record 3
# CaB4 (PBE, optimized geometry)
data_CaB4
_chemical_formula_sum 'Ca1 B4'
_space_group_name_H-M_alt 'P 1'
_space_group_IT_number 1
_space_group_name_Hall 'P 1'
_cell_length_a 4.8473
_cell_length_b 4.8473
_cell_length_c 4.8473
_cell_angle_alpha 90.00
_cell_angle_beta 90.00
_cell_angle_gamma 90.00
loop_
_atom_site_label
_atom_site_fract_x
_atom_site_fract_y
_atom_site_fract_z
Ca1 0.0000 0.0000 0.0000
B1 0.0000 0.0000 0.5000
B2 0.0000 0.5000 0.0000
B3 0.5000 0.0000 0.0000
B4 0.5000 0.5000 0.5000
# Energy relative to the lowest polymorph listed for this composition: 3.922 eV per atom
# E_tot: -2.2125 eV/atom